Entry 1:
Below is crystalline La2TaRu at its relaxed geometry, with properties calculated at the PBE level.

Properties
Energy above the most stable polymorph in this dataset (meV per atom): 400
Density (g/cm3): 10.3

Cell lengths 3.446, 5.270, 9.961 Å; angles 90.00, 90.00, 90.00 degrees
Space group Immm (No. 71)
Asymmetric unit:
La 0.000 0.000 0.229 (multiplicity 4)
Ta 0.000 0.500 0.000 (multiplicity 2)
Ru 0.000 0.500 0.500 (multiplicity 2)

=====

Entry 2:
Below is crystalline La2TaRu at its relaxed geometry, with properties calculated at the PBE level.

Properties
Energy above the most stable polymorph in this dataset (meV per atom): 72
Density (g/cm3): 7.7

Cell lengths 4.2432, 4.2432, 23.1908 Å; angles 90.00, 90.00, 120.00 degrees
Space group R3m (No. 160, hexagonal axes)
Asymmetric unit:
La 0.0000 0.0000 0.0000 (multiplicity 3)
La 0.0000 0.0000 0.1900 (multiplicity 3)
Ta 0.0000 0.0000 0.7551 (multiplicity 3)
Ru 0.0000 0.0000 0.4428 (multiplicity 3)

=====

Entry 3:
Below is crystalline LaTa2Ru at its relaxed geometry, with properties calculated at the PBE level.

Properties
Energy (eV per atom): -9.0309
Density (g/cm3): 12.2

Cell lengths 3.960, 3.960, 5.212 Å; angles 90.00, 90.00, 90.00 degrees
Space group P4/mmm (No. 123)
Asymmetric unit:
La 0.000 0.000 0.000 (multiplicity 1)
Ta 0.000 0.500 0.500 (multiplicity 2)
Ru 0.500 0.500 0.000 (multiplicity 1)